Compound: CoSi2O
Source: Alexandria
Functional: PBE with a Hubbard U
Structure: optimized geometry

Computed properties:
Uncorrected energy   -5.37 eV per atom
Spin magnetization   0.00 μB per cell
Crystal system   tetragonal

a b c (Å): 5.556 5.556 5.556
angles (deg): 127.03 127.03 78.19
Element x y z (fractional)
Co1 0.000 0.000 0.000
Co2 0.750 0.250 0.500
Si1 0.149 0.625 0.024
Si2 0.375 0.399 0.524
Si3 0.601 0.125 0.976
Si4 0.875 0.851 0.476
O1 0.250 0.750 0.500
O2 0.500 0.500 0.000